Entry 1:
! KPaBeO4 (PBE, relaxed); values from VASP
! **E_tot**: -7.773 eV/atom
! **Total magnetic moment**: 0.0 μB/f.u.
! **Raw formation energy**: -2.894 eV per atom
! **SG**: No. 11
&SYSTEM
  ibrav = 0, nat = 14, ntyp = 4
/
ATOMIC_SPECIES
Pa 231.04 Pa.upf
O 16.00 O.upf
Be 9.01 Be.upf
K 39.10 K.upf
CELL_PARAMETERS angstrom
-0.8018 4.6291 -2.6036
-3.0184 -2.5717 -3.6429
-5.4460 -0.6311 4.9580
ATOMIC_POSITIONS crystal
Pa 0.7590 0.7500 0.4487
Pa 0.2410 0.2500 0.5513
O 0.0293 0.5149 0.3221
O 0.9707 0.0149 0.6779
O 0.0293 0.9851 0.3221
O 0.5705 0.2500 0.4447
O 0.5698 0.2500 0.7938
O 0.4295 0.7500 0.5553
O 0.4302 0.7500 0.2062
O 0.9707 0.4851 0.6779
Be 0.7742 0.2500 0.6682
Be 0.2258 0.7500 0.3318
K 0.7138 0.7500 0.9330
K 0.2862 0.2500 0.0670



Entry 2:
! K3PaBe2O6 (PBE, relaxed); values from VASP
! **E_tot**: -6.709 eV/atom
! **Total magnetic moment**: 0.0 μB/f.u.
! **Raw formation energy**: -2.543 eV per atom
! **SG**: No. 164
&SYSTEM
  ibrav = 0, nat = 12, ntyp = 4
/
ATOMIC_SPECIES
Be 9.01 Be.upf
O 16.00 O.upf
K 39.10 K.upf
Pa 231.04 Pa.upf
CELL_PARAMETERS angstrom
5.7264 0.0000 0.0000
-2.8632 4.9592 0.0000
0.0000 0.0000 6.9999
ATOMIC_POSITIONS crystal
Be 0.6667 0.3333 0.6946
Be 0.3333 0.6667 0.3054
O 0.1766 0.3532 0.3098
O 0.6468 0.8234 0.3098
O 0.8234 0.6468 0.6902
O 0.8234 0.1766 0.6902
O 0.3532 0.1766 0.6902
O 0.1766 0.8234 0.3098
K 0.3333 0.6667 0.7384
K 0.6667 0.3333 0.2616
K 0.0000 0.0000 0.0000
Pa 0.0000 0.0000 0.5000



Entry 3:
! KPa3Be4O12 (PBE, relaxed); values from VASP
! **E_tot**: -8.231 eV/atom
! **Total magnetic moment**: 0.0 μB/f.u.
! **Raw formation energy**: -3.031 eV per atom
! **SG**: No. 155
&SYSTEM
  ibrav = 0, nat = 20, ntyp = 4
/
ATOMIC_SPECIES
O 16.00 O.upf
Be 9.01 Be.upf
Pa 231.04 Pa.upf
K 39.10 K.upf
CELL_PARAMETERS angstrom
6.7909 0.0798 0.1109
-1.5587 6.6101 0.1109
-1.5587 -1.9930 6.3034
ATOMIC_POSITIONS crystal
O 0.3998 0.9895 0.2319
O 0.0105 0.6002 0.7681
O 0.9895 0.2319 0.3998
O 0.5000 0.0993 0.9007
O 0.3529 0.6471 0.5000
O 0.0993 0.9007 0.5000
O 0.9007 0.5000 0.0993
O 0.6002 0.7681 0.0105
O 0.6471 0.5000 0.3529
O 0.5000 0.3529 0.6471
O 0.2319 0.3998 0.9895
O 0.7681 0.0105 0.6002
Be 0.5000 0.5000 0.5000
Be 0.9502 0.0498 0.5000
Be 0.5000 0.9502 0.0498
Be 0.0498 0.5000 0.9502
Pa 0.5460 0.4540 0.0000
Pa 0.0000 0.5460 0.4540
Pa 0.4540 0.0000 0.5460
K 0.0000 0.0000 0.0000



Entry 4:
! K2PaBe2O6 (PBE, relaxed); values from VASP
! **E_tot**: -6.919 eV/atom
! **Total magnetic moment**: 0.0 μB/f.u.
! **Raw formation energy**: -2.474 eV per atom
! **SG**: No. 147
&SYSTEM
  ibrav = 0, nat = 11, ntyp = 4
/
ATOMIC_SPECIES
O 16.00 O.upf
K 39.10 K.upf
Be 9.01 Be.upf
Pa 231.04 Pa.upf
CELL_PARAMETERS angstrom
5.7116 0.0000 0.0000
-2.8558 4.9464 0.0000
0.0000 0.0000 6.4259
ATOMIC_POSITIONS crystal
O 0.6422 0.8201 0.8042
O 0.1779 0.3578 0.8042
O 0.3578 0.1799 0.1958
O 0.8201 0.1779 0.1958
O 0.1799 0.8221 0.8042
O 0.8221 0.6422 0.1958
K 0.3333 0.6667 0.3312
K 0.6667 0.3333 0.6688
Be 0.6667 0.3333 0.1841
Be 0.3333 0.6667 0.8159
Pa 0.0000 0.0000 0.0000



Entry 5:
! KPm2BeO5 (PBE, relaxed); values from VASP
! **E_tot**: -6.978 eV/atom
! **Total magnetic moment**: 1.0 μB/f.u.
! **Raw formation energy**: -2.632 eV per atom
! **SG**: No. 140
&SYSTEM
  ibrav = 0, nat = 18, ntyp = 4
/
ATOMIC_SPECIES
O 16.00 O.upf
Be 9.01 Be.upf
Pm 145.00 Pm.upf
K 39.10 K.upf
CELL_PARAMETERS angstrom
-0.3854 4.0496 5.3824
3.3876 -4.5433 3.6608
3.0328 2.5144 -5.9030
ATOMIC_POSITIONS crystal
O 0.2343 0.9850 0.7193
O 0.0150 0.5150 0.2807
O 0.7657 0.0150 0.2807
O 0.9850 0.4850 0.7193
O 0.0000 0.0000 0.0000
O 0.4850 0.7343 0.7193
O 0.7343 0.2343 0.7193
O 0.5000 0.5000 0.0000
O 0.5150 0.2657 0.2807
O 0.2657 0.7657 0.2807
Be 0.7500 0.2500 0.5000
Be 0.2500 0.7500 0.5000
Pm 0.6804 0.1804 0.0000
Pm 0.8196 0.6804 0.0000
Pm 0.1804 0.3196 0.0000
Pm 0.3196 0.8196 0.0000
K 0.2500 0.2500 0.5000
K 0.7500 0.7500 0.5000



Entry 6:
! K4Pm3BeO8 (PBE, relaxed); values from VASP
! **E_tot**: -6.067 eV/atom
! **Total magnetic moment**: 1.1 μB/f.u.
! **Raw formation energy**: -2.190 eV per atom
! **SG**: No. 12
&SYSTEM
  ibrav = 0, nat = 16, ntyp = 4
/
ATOMIC_SPECIES
K 39.10 K.upf
O 16.00 O.upf
Pm 145.00 Pm.upf
Be 9.01 Be.upf
CELL_PARAMETERS angstrom
6.7614 0.0000 0.0000
0.0000 7.2702 0.3929
-3.3807 -3.3544 5.3406
ATOMIC_POSITIONS crystal
K 0.5000 0.0000 0.5000
K 0.0000 0.0000 0.5000
K 0.5000 0.0000 0.0000
K 0.0000 0.0000 0.0000
O 0.2813 0.7375 0.5627
O 0.7157 0.6913 0.4315
O 0.7187 0.2625 0.4373
O 0.2843 0.3087 0.5685
O 0.1697 0.6469 0.9440
O 0.8303 0.3531 0.0560
O 0.7743 0.6469 0.9440
O 0.2257 0.3531 0.0560
Pm 0.5000 0.5000 0.5000
Pm 0.5000 0.5000 0.0000
Pm 0.0000 0.5000 0.5000
Be 0.0000 0.5000 0.0000



Entry 7:
! K2PmBe2O4 (PBE, relaxed); values from VASP
! **E_tot**: -5.976 eV/atom
! **Total magnetic moment**: 0.0 μB/f.u.
! **Raw formation energy**: -2.173 eV per atom
! **SG**: No. 12
&SYSTEM
  ibrav = 0, nat = 9, ntyp = 4
/
ATOMIC_SPECIES
O 16.00 O.upf
K 39.10 K.upf
Be 9.01 Be.upf
Pm 145.00 Pm.upf
CELL_PARAMETERS angstrom
3.4404 0.0000 0.0000
0.0000 8.5364 1.1821
-1.7202 -2.4860 5.7595
ATOMIC_POSITIONS crystal
O 0.2022 0.0753 0.4044
O 0.5647 0.8672 0.1294
O 0.7978 0.9247 0.5956
O 0.4353 0.1328 0.8706
K 0.1539 0.6692 0.3079
K 0.8461 0.3308 0.6921
Be 0.3145 0.0259 0.6289
Be 0.6855 0.9741 0.3711
Pm 0.0000 0.0000 0.0000



Entry 8:
! K2PrBe2O4 (PBE, relaxed); values from VASP
! **E_tot**: -5.898 eV/atom
! **Total magnetic moment**: 0.7 μB/f.u.
! **Raw formation energy**: -2.092 eV per atom
! **SG**: No. 12
&SYSTEM
  ibrav = 0, nat = 9, ntyp = 4
/
ATOMIC_SPECIES
K 39.10 K.upf
O 16.00 O.upf
Be 9.01 Be.upf
Pr 140.91 Pr.upf
CELL_PARAMETERS angstrom
-0.1652 -0.4540 -3.2797
1.0538 -7.3850 0.9691
-5.9178 2.9910 1.5595
ATOMIC_POSITIONS crystal
K 0.1318 0.5712 0.2636
K 0.8682 0.4288 0.7364
O 0.2169 0.0904 0.4338
O 0.7831 0.9096 0.5662
O 0.4638 0.2003 0.9277
O 0.5362 0.7997 0.0723
Be 0.6769 0.9554 0.3538
Be 0.3231 0.0446 0.6462
Pr 0.0000 0.0000 0.0000



Entry 9:
! K2BePt2O6 (PBE, relaxed); values from VASP
! **E_tot**: -5.503 eV/atom
! **Total magnetic moment**: 0.0 μB/f.u.
! **Raw formation energy**: -1.161 eV per atom
! **SG**: No. 12
&SYSTEM
  ibrav = 0, nat = 11, ntyp = 4
/
ATOMIC_SPECIES
Pt 195.08 Pt.upf
O 16.00 O.upf
K 39.10 K.upf
Be 9.01 Be.upf
CELL_PARAMETERS angstrom
5.3068 -0.0259 0.0512
-2.6454 4.6005 0.0512
-0.9448 -1.6239 6.0352
ATOMIC_POSITIONS crystal
Pt 0.3339 0.6661 0.5000
Pt 0.6661 0.3339 0.5000
O 0.0534 0.3750 0.6620
O 0.7376 0.7376 0.6596
O 0.6250 0.9466 0.3380
O 0.9466 0.6250 0.3380
O 0.2624 0.2624 0.3404
O 0.3750 0.0534 0.6620
K 0.1663 0.8337 0.0000
K 0.8337 0.1663 0.0000
Be 0.0000 0.0000 0.5000



Entry 10:
! KBe4Pt3O12 (PBE, relaxed); values from VASP
! **E_tot**: -5.914 eV/atom
! **Total magnetic moment**: 3.1 μB/f.u.
! **Raw formation energy**: -1.233 eV per atom
! **SG**: No. 155
&SYSTEM
  ibrav = 0, nat = 20, ntyp = 4
/
ATOMIC_SPECIES
O 16.00 O.upf
Be 9.01 Be.upf
Pt 195.08 Pt.upf
K 39.10 K.upf
CELL_PARAMETERS angstrom
-3.9198 4.1377 -2.9083
0.3523 -5.0417 -3.9244
-3.2236 -2.0677 5.1261
ATOMIC_POSITIONS crystal
O 0.9532 0.2384 0.3712
O 0.0468 0.6288 0.7616
O 0.3458 0.6542 0.5000
O 0.0873 0.9127 0.5000
O 0.7616 0.0468 0.6288
O 0.3712 0.9532 0.2384
O 0.2384 0.3712 0.9532
O 0.5000 0.0873 0.9127
O 0.9127 0.5000 0.0873
O 0.6542 0.5000 0.3458
O 0.5000 0.3458 0.6542
O 0.6288 0.7616 0.0468
Be 0.9315 0.0685 0.5000
Be 0.5000 0.9315 0.0685
Be 0.0685 0.5000 0.9315
Be 0.5000 0.5000 0.5000
Pt 0.5641 0.4359 0.0000
Pt 0.0000 0.5641 0.4359
Pt 0.4359 0.0000 0.5641
K 0.0000 0.0000 0.0000



Entry 11:
! K2BePtO4 (PBE, relaxed); values from VASP
! **E_tot**: -5.272 eV/atom
! **Total magnetic moment**: 0.0 μB/f.u.
! **Raw formation energy**: -1.298 eV per atom
! **SG**: No. 70
&SYSTEM
  ibrav = 0, nat = 16, ntyp = 4
/
ATOMIC_SPECIES
K 39.10 K.upf
O 16.00 O.upf
Be 9.01 Be.upf
Pt 195.08 Pt.upf
CELL_PARAMETERS angstrom
-5.2515 -0.4518 0.3573
-2.0467 -2.9788 5.2087
-3.0173 7.8607 4.6495
ATOMIC_POSITIONS crystal
K 0.5740 0.5000 0.8520
K 0.9260 0.5000 0.1480
K 0.1760 0.0000 0.6480
K 0.8240 0.0000 0.3520
O 0.0767 0.3439 0.4137
O 0.5096 0.6561 0.4137
O 0.6733 0.1561 0.0863
O 0.5794 0.3439 0.5863
O 0.8343 0.6561 0.5863
O 0.9157 0.8439 0.9137
O 0.1706 0.1561 0.9137
O 0.2404 0.8439 0.0863
Be 0.7500 0.5000 0.5000
Be 0.0000 0.0000 0.0000
Pt 0.5000 0.0000 0.0000
Pt 0.2500 0.5000 0.5000



Entry 12:
! KBePtO4 (PBE, relaxed); values from VASP
! **E_tot**: -5.366 eV/atom
! **Total magnetic moment**: 0.0 μB/f.u.
! **Raw formation energy**: -0.980 eV per atom
! **SG**: No. 63
&SYSTEM
  ibrav = 0, nat = 14, ntyp = 4
/
ATOMIC_SPECIES
Be 9.01 Be.upf
Pt 195.08 Pt.upf
K 39.10 K.upf
O 16.00 O.upf
CELL_PARAMETERS angstrom
-1.3347 -5.7547 -0.3858
3.3503 1.0102 4.7752
-5.2929 0.9927 3.5036
ATOMIC_POSITIONS crystal
Be 0.8845 0.1155 0.7500
Be 0.1155 0.8845 0.2500
Pt 0.1547 0.8453 0.7500
Pt 0.8453 0.1547 0.2500
K 0.5000 0.5000 0.0000
K 0.5000 0.5000 0.5000
O 0.8225 0.8184 0.2500
O 0.7930 0.2070 0.5384
O 0.1775 0.1816 0.7500
O 0.8184 0.8225 0.7500
O 0.2070 0.7930 0.4616
O 0.1816 0.1775 0.2500
O 0.7930 0.2070 0.9616
O 0.2070 0.7930 0.0384



Entry 13:
! K2PuBeO4 (PBE, relaxed); values from VASP
! **E_tot**: -7.174 eV/atom
! **Total magnetic moment**: 4.0 μB/f.u.
! **Raw formation energy**: -2.163 eV per atom
! **SG**: No. 59
&SYSTEM
  ibrav = 0, nat = 16, ntyp = 4
/
ATOMIC_SPECIES
Be 9.01 Be.upf
K 39.10 K.upf
Pu 244.00 Pu.upf
O 16.00 O.upf
CELL_PARAMETERS angstrom
-4.3618 -4.0254 -0.1623
3.9937 -4.2136 -2.8190
1.9224 -2.3334 6.2111
ATOMIC_POSITIONS crystal
Be 0.5000 0.8367 0.5000
Be 0.0000 0.1633 0.0000
K 0.0000 0.7265 0.7434
K 0.0000 0.7265 0.2566
K 0.5000 0.2735 0.7567
K 0.5000 0.2735 0.2433
Pu 0.0000 0.1913 0.5000
Pu 0.5000 0.8087 0.0000
O 0.0000 0.2994 0.7905
O 0.5000 0.7006 0.7095
O 0.5000 0.7006 0.2905
O 0.7716 0.0069 0.0000
O 0.2284 0.0069 0.0000
O 0.0000 0.2994 0.2095
O 0.7284 0.9931 0.5000
O 0.2716 0.9931 0.5000



Entry 14:
! K2PuBe2O6 (PBE, relaxed); values from VASP
! **E_tot**: -7.185 eV/atom
! **Total magnetic moment**: 2.0 μB/f.u.
! **Raw formation energy**: -2.301 eV per atom
! **SG**: No. 147
&SYSTEM
  ibrav = 0, nat = 11, ntyp = 4
/
ATOMIC_SPECIES
Be 9.01 Be.upf
O 16.00 O.upf
Pu 244.00 Pu.upf
K 39.10 K.upf
CELL_PARAMETERS angstrom
-5.4057 -1.1711 0.6503
3.7764 -4.0893 0.1799
0.5852 0.8194 6.3405
ATOMIC_POSITIONS crystal
Be 0.6667 0.3333 0.1748
Be 0.3333 0.6667 0.8252
O 0.3491 0.1560 0.1895
O 0.1560 0.8069 0.8105
O 0.8440 0.1931 0.1895
O 0.1931 0.3491 0.8105
O 0.6509 0.8440 0.8105
O 0.8069 0.6509 0.1895
Pu 0.0000 0.0000 0.0000
K 0.3333 0.6667 0.3284
K 0.6667 0.3333 0.6716



Entry 15:
! KPuBeO4 (PBE, relaxed); values from VASP
! **E_tot**: -7.806 eV/atom
! **Total magnetic moment**: 3.0 μB/f.u.
! **Raw formation energy**: -2.236 eV per atom
! **SG**: No. 63
&SYSTEM
  ibrav = 0, nat = 14, ntyp = 4
/
ATOMIC_SPECIES
O 16.00 O.upf
K 39.10 K.upf
Be 9.01 Be.upf
Pu 244.00 Pu.upf
CELL_PARAMETERS angstrom
-5.8813 -0.6172 0.0494
2.7082 -3.2888 4.1015
-0.4958 5.0762 4.3976
ATOMIC_POSITIONS crystal
O 0.7973 0.2027 0.9544
O 0.2027 0.7973 0.0456
O 0.8064 0.8116 0.2500
O 0.7973 0.2027 0.5456
O 0.1884 0.1936 0.2500
O 0.8116 0.8064 0.7500
O 0.2027 0.7973 0.4544
O 0.1936 0.1884 0.7500
K 0.5000 0.5000 0.5000
K 0.5000 0.5000 0.0000
Be 0.1092 0.8908 0.2500
Be 0.8908 0.1092 0.7500
Pu 0.1658 0.8342 0.7500
Pu 0.8342 0.1658 0.2500



Entry 16:
! K2PuBeO6 (PBE, relaxed); values from VASP
! **E_tot**: -6.929 eV/atom
! **Total magnetic moment**: 0.0 μB/f.u.
! **Raw formation energy**: -1.929 eV per atom
! **SG**: No. 164
&SYSTEM
  ibrav = 0, nat = 10, ntyp = 4
/
ATOMIC_SPECIES
O 16.00 O.upf
K 39.10 K.upf
Be 9.01 Be.upf
Pu 244.00 Pu.upf
CELL_PARAMETERS angstrom
-1.4928 -1.3137 -4.6283
-3.4007 -4.3994 2.3455
-2.3300 5.5076 -0.8117
ATOMIC_POSITIONS crystal
O 0.2363 0.8601 0.7202
O 0.2363 0.8601 0.1399
O 0.7637 0.1399 0.2798
O 0.2363 0.2798 0.1399
O 0.7637 0.7202 0.8601
O 0.7637 0.1399 0.8601
K 0.8374 0.6667 0.3333
K 0.1626 0.3333 0.6667
Be 0.0000 0.0000 0.0000
Pu 0.5000 0.0000 0.0000



Entry 17:
! K4Pu3BeO8 (PBE, relaxed); values from VASP
! **E_tot**: -7.845 eV/atom
! **Total magnetic moment**: 14.0 μB/f.u.
! **Raw formation energy**: -2.171 eV per atom
! **SG**: No. 12
&SYSTEM
  ibrav = 0, nat = 16, ntyp = 4
/
ATOMIC_SPECIES
K 39.10 K.upf
O 16.00 O.upf
Pu 244.00 Pu.upf
Be 9.01 Be.upf
CELL_PARAMETERS angstrom
6.6989 0.0000 0.0000
0.0000 7.2600 0.3610
-3.3495 -3.3680 5.1653
ATOMIC_POSITIONS crystal
K 0.0000 0.0000 0.0000
K 0.5000 0.0000 0.5000
K 0.5000 0.0000 0.0000
K 0.0000 0.0000 0.5000
O 0.2390 0.3491 0.0593
O 0.2777 0.3076 0.5555
O 0.8203 0.3491 0.0593
O 0.7223 0.6924 0.4445
O 0.7301 0.2793 0.4601
O 0.2699 0.7207 0.5399
O 0.7610 0.6509 0.9407
O 0.1797 0.6509 0.9407
Pu 0.5000 0.5000 0.5000
Pu 0.5000 0.5000 0.0000
Pu 0.0000 0.5000 0.5000
Be 0.0000 0.5000 0.0000



Entry 18:
! K3Pu2BeO9 (PBE, relaxed); values from VASP
! **E_tot**: -7.508 eV/atom
! **Total magnetic moment**: 3.0 μB/f.u.
! **Raw formation energy**: -2.154 eV per atom
! **SG**: No. 164
&SYSTEM
  ibrav = 0, nat = 15, ntyp = 4
/
ATOMIC_SPECIES
Pu 244.00 Pu.upf
O 16.00 O.upf
Be 9.01 Be.upf
K 39.10 K.upf
CELL_PARAMETERS angstrom
-2.1430 4.3320 3.0984
3.1123 -4.0919 2.5550
5.8844 3.7463 -1.1680
ATOMIC_POSITIONS crystal
Pu 0.3333 0.6667 0.1858
Pu 0.6667 0.3333 0.8142
O 0.1640 0.8360 0.3396
O 0.5000 0.5000 0.0000
O 0.0000 0.5000 0.0000
O 0.5000 0.0000 0.0000
O 0.1640 0.3280 0.3396
O 0.3280 0.1640 0.6604
O 0.6720 0.8360 0.3396
O 0.8360 0.1640 0.6604
O 0.8360 0.6720 0.6604
Be 0.0000 0.0000 0.5000
K 0.6667 0.3333 0.3383
K 0.0000 0.0000 0.0000
K 0.3333 0.6667 0.6617



Entry 19:
! KRbBeO2 (PBE, relaxed); values from VASP
! **E_tot**: -4.301 eV/atom
! **Total magnetic moment**: 0.0 μB/f.u.
! **Raw formation energy**: -1.160 eV per atom
! **SG**: No. 51
&SYSTEM
  ibrav = 0, nat = 10, ntyp = 4
/
ATOMIC_SPECIES
K 39.10 K.upf
Be 9.01 Be.upf
O 16.00 O.upf
Rb 85.47 Rb.upf
CELL_PARAMETERS angstrom
5.2086 0.0000 0.0000
0.0000 5.1094 0.0000
0.0000 0.0000 6.5920
ATOMIC_POSITIONS crystal
K 0.5451 0.7500 0.0000
K 0.4549 0.2500 0.0000
Be 0.0000 0.0000 0.0000
Be 0.0000 0.5000 0.0000
O 0.0926 0.7500 0.8229
O 0.0926 0.7500 0.1771
O 0.9074 0.2500 0.8229
O 0.9074 0.2500 0.1771
Rb 0.7854 0.7500 0.5000
Rb 0.2146 0.2500 0.5000